Record 1
Sc6SbTe3Se2 | PBE | relaxed

Cell: 7.024 7.024 7.104 Å, 99.52 99.52 120.02°
Element x y z (fractional)
Sc: 0.925 0.576 0.778
Sc: 0.720 0.720 0.216
Sc: 0.075 0.424 0.222
Sc: 0.576 0.925 0.778
Sc: 0.280 0.280 0.784
Sc: 0.424 0.075 0.222
Sb: 0.000 0.000 0.000
Te: 0.161 0.839 0.500
Te: 0.839 0.161 0.500
Te: 0.500 0.500 0.500
Se: 0.332 0.668 0.000
Se: 0.668 0.332 0.000

Computed properties:
space group: C2/m
total energy: -6.13 eV/atom

---

Record 2
Sc6Sb2Te3Se | PBE | relaxed

Cell: 4.106 8.252 9.255 Å, 103.32 102.82 90.00°
Element x y z (fractional)
Sc: 0.347 0.920 0.695
Sc: 0.667 0.574 0.333
Sc: 0.653 0.080 0.305
Sc: 0.001 0.221 0.002
Sc: 0.999 0.779 0.998
Sc: 0.333 0.426 0.667
Sb: 0.833 0.669 0.666
Sb: 0.167 0.331 0.334
Te: 0.500 0.500 0.000
Te: 0.830 0.165 0.661
Te: 0.170 0.835 0.339
Se: 0.500 0.000 0.000

Computed properties:
space group: C2/m
total energy: -6.09 eV/atom

---

Record 3
Sc6Sb3TeSe2 | PBE | relaxed

Cell: 7.038 7.038 7.057 Å, 99.62 99.62 119.76°
Element x y z (fractional)
Sc: 0.917 0.567 0.752
Sc: 0.726 0.726 0.234
Sc: 0.083 0.433 0.248
Sc: 0.567 0.917 0.752
Sc: 0.274 0.274 0.766
Sc: 0.433 0.083 0.248
Sb: 0.158 0.842 0.500
Sb: 0.842 0.158 0.500
Sb: 0.500 0.500 0.500
Te: 0.000 0.000 0.000
Se: 0.331 0.669 0.000
Se: 0.669 0.331 0.000

Computed properties:
space group: C2/m
total energy: -6.23 eV/atom

---

Record 4
Sc2Tl3SbSe6 | PBE | relaxed

Cell: 7.045 7.045 8.031 Å, 98.40 98.40 119.99°
Element x y z (fractional)
Sc: 0.333 0.667 0.000
Sc: 0.667 0.333 0.000
Tl: 0.163 0.837 0.500
Tl: 0.837 0.163 0.500
Tl: 0.500 0.500 0.500
Sb: 0.000 0.000 0.000
Se: 0.934 0.588 0.802
Se: 0.719 0.719 0.196
Se: 0.066 0.412 0.198
Se: 0.588 0.934 0.802
Se: 0.281 0.281 0.804
Se: 0.412 0.066 0.198

Computed properties:
space group: C2/m
total energy: -4.69 eV/atom

---

Record 5
ScTl3Sb2Se6 | PBE | relaxed

Cell: 7.188 7.188 8.006 Å, 98.60 98.60 119.99°
Element x y z (fractional)
Sc: 0.000 0.000 0.000
Tl: 0.169 0.831 0.500
Tl: 0.831 0.169 0.500
Tl: 0.500 0.500 0.500
Sb: 0.334 0.666 0.000
Sb: 0.666 0.334 0.000
Se: 0.933 0.613 0.798
Se: 0.749 0.749 0.203
Se: 0.067 0.387 0.202
Se: 0.613 0.933 0.798
Se: 0.251 0.251 0.797
Se: 0.387 0.067 0.202

Computed properties:
space group: C2/m
total energy: -4.21 eV/atom

---

Record 6
TmScSbSe | PBE | relaxed

Cell: 4.162 4.162 5.764 Å, 90.00 90.00 90.00°
Element x y z (fractional)
Tm: 0.000 0.892 0.592
Sc: 0.500 0.391 0.093
Sb: 0.500 0.392 0.593
Se: 0.000 0.891 0.092

Computed properties:
space group: P4mm
total energy: -5.88 eV/atom

---

Record 7
Sc2SiSb | PBE | relaxed

Cell: 4.046 4.492 4.492 Å, 90.00 90.00 90.00°
Element x y z (fractional)
Sb: 0.500 0.000 0.500
Sc: 0.000 0.000 0.000
Sc: 0.000 0.500 0.500
Si: 0.500 0.500 0.000

Computed properties:
space group: P4/mmm
offset from the most stable computed form: 191 meV/atom

---

Record 8
ScSiSb2 | PBE | relaxed

Cell: 3.380 3.380 8.358 Å, 90.00 90.00 105.19°
Element x y z (fractional)
Sb: 0.000 0.000 0.999
Sb: 0.000 0.000 0.501
Sc: 0.500 0.500 0.250
Si: 0.500 0.500 0.750

Computed properties:
space group: Cmmm
total energy: -5.02 eV/atom

---

Record 9
Sc2SiSb | PBE | relaxed

Cell: 9.757 9.757 9.757 Å, 19.25 19.25 19.25°
Last column: magnetic moment on the atom in μB.
Element x y z (fractional)
Sb: 0.754 0.754 0.754  0.00
Sc: 0.001 0.001 0.001  0.10
Sc: 0.243 0.243 0.243  0.10
Si: 0.502 0.502 0.502  0.00

Computed properties:
space group: R3m
offset from the most stable computed form: 677 meV/atom

---

Record 10
ScSi2Sb | PBE | relaxed

Cell: 3.185 3.185 7.849 Å, 90.00 90.00 97.92°
Element x y z (fractional)
Sb: 0.500 0.500 0.250
Sc: 0.500 0.500 0.750
Si: 0.000 0.000 0.980
Si: 0.000 0.000 0.520

Computed properties:
space group: Cmmm
total energy: -5.23 eV/atom

---

Record 11
ScSiSb | PBE | relaxed

Cell: 5.293 5.292 3.639 Å, 69.90 69.89 40.21°
Element x y z (fractional)
Sb: 0.996 0.996 0.004
Sc: 0.323 0.323 0.677
Si: 0.680 0.680 0.320

Computed properties:
space group: I4mm
offset from the most stable computed form: 197 meV/atom

---

Record 12
Sc2SiSb | PBE | relaxed

Cell: 3.886 3.351 6.729 Å, 74.38 90.00 90.00°
Element x y z (fractional)
Sb: 0.500 0.750 0.750
Sc: 0.000 0.011 0.020
Sc: 0.000 0.489 0.480
Si: 0.500 0.250 0.250

Computed properties:
space group: P2/m
offset from the most stable computed form: 122 meV/atom

---

Record 13
ScSi2Sb | PBE | relaxed

Cell: 3.817 3.838 5.949 Å, 67.70 90.00 90.00°
Element x y z (fractional)
Sb: 0.000 0.458 0.511
Sc: 0.500 0.785 0.772
Si: 0.000 0.138 0.985
Si: 0.500 0.119 0.232

Computed properties:
space group: Pm
total energy: -5.49 eV/atom

---

Record 14
Sc2SiSb | PBE | relaxed

Cell: 3.854 3.854 7.409 Å, 74.98 74.98 59.95°
Element x y z (fractional)
Sb: 0.250 0.250 0.250
Sc: 0.009 0.009 0.973
Sc: 0.491 0.491 0.527
Si: 0.750 0.750 0.750

Computed properties:
space group: R-3m
offset from the most stable computed form: 35 meV/atom

---

Record 15
ScSi2Sb | PBE | relaxed

Cell: 3.694 3.694 5.771 Å, 90.00 90.00 90.00°
Element x y z (fractional)
Sb: 0.500 0.500 0.250
Sc: 0.500 0.500 0.750
Si: 0.000 0.000 0.959
Si: 0.000 0.000 0.541

Computed properties:
space group: P4/mmm
total energy: -5.43 eV/atom

---

Record 16
ScSi2Sb | PBE | relaxed

Cell: 9.349 9.349 9.349 Å, 19.61 19.61 19.61°
Element x y z (fractional)
Sb: 0.250 0.250 0.250
Sc: 0.750 0.750 0.750
Si: 0.006 0.006 0.006
Si: 0.494 0.494 0.494

Computed properties:
space group: R-3m
total energy: -5.09 eV/atom

---

Record 17
Sc2SiSb | PBE | relaxed

Cell: 9.129 9.129 9.129 Å, 24.47 24.47 24.47°
Element x y z (fractional)
Sc: 0.900 0.900 0.900
Sc: 0.100 0.100 0.100
Sb: 0.500 0.500 0.500
Si: 0.000 0.000 0.000

Computed properties:
space group: R-3m
offset from the most stable computed form: 752 meV/atom

---

Record 18
Sc2SiSb | PBE | relaxed

Cell: 5.094 6.666 3.404 Å, 73.41 81.53 123.98°
Element x y z (fractional)
Sb: 0.500 0.000 0.500
Sc: 0.000 0.000 0.000
Sc: 0.000 0.500 0.500
Si: 0.500 0.500 0.000

Computed properties:
space group: C2/m
offset from the most stable computed form: 158 meV/atom

---

Record 19
Sc2SiSb | PBE | relaxed

Cell: 7.532 7.532 6.193 Å, 52.55 52.55 90.00°
Element x y z (fractional)
Sc: 0.600 0.125 0.250
Sc: 0.150 0.625 0.250
Sc: 0.375 0.400 0.750
Sc: 0.875 0.850 0.750
Sb: 0.000 0.000 0.000
Sb: 0.750 0.250 0.500
Si: 0.500 0.500 0.000
Si: 0.250 0.750 0.500

Computed properties:
space group: I-42d
offset from the most stable computed form: 220 meV/atom

---

Record 20
ScSi2Sb | PBE | relaxed

Cell: 5.595 5.595 5.595 Å, 137.96 137.96 60.97°
Element x y z (fractional)
Sb: 0.500 0.500 0.000
Sc: 0.750 0.250 0.500
Si: 0.000 0.000 0.000
Si: 0.250 0.750 0.500

Computed properties:
space group: I-4m2
total energy: -5.40 eV/atom

---

Record 21
ScSiSb2 | PBE | relaxed

Cell: 3.975 3.925 6.501 Å, 63.44 90.00 90.00°
Element x y z (fractional)
Sb: 0.000 0.964 0.996
Sb: 0.000 0.536 0.504
Sc: 0.500 0.250 0.250
Si: 0.500 0.750 0.750

Computed properties:
space group: P2/m
total energy: -5.16 eV/atom

---

Record 22
Sc2SiSb | PBE | relaxed

Cell: 4.771 4.771 3.747 Å, 90.00 90.00 101.67°
Last column: magnetic moment on the atom in μB.
Element x y z (fractional)
Sb: 0.000 0.500 0.500  0.00
Sc: 0.000 0.000 0.000  0.19
Sc: 0.500 0.500 0.000  0.19
Si: 0.500 0.000 0.500  0.00

Computed properties:
space group: Cmmm
offset from the most stable computed form: 199 meV/atom

---

Record 23
Sc4SiSb | PBE | relaxed

Cell: 5.408 6.072 8.966 Å, 90.00 118.40 90.00°
Last column: magnetic moment on the atom in μB.
Element x y z (fractional)
Sc: 0.605 0.250 0.453  0.01
Sc: 0.395 0.750 0.547  0.01
Sc: 0.670 0.250 0.850  0.21
Sc: 0.330 0.750 0.150  0.21
Sc: 0.909 0.007 0.242  0.12
Sc: 0.091 0.507 0.758  0.12
Sc: 0.909 0.493 0.242  0.12
Sc: 0.091 0.993 0.758  0.12
Si: 0.192 0.250 0.539  0.00
Si: 0.808 0.750 0.461  0.00
Sb: 0.317 0.250 0.083  -0.01
Sb: 0.683 0.750 0.917  -0.01

Computed properties:
space group: P2_1/m
offset from the most stable computed form: 0 meV/atom

---

Record 24
ScSi2Sb | PBE | relaxed

Cell: 6.527 6.527 7.033 Å, 62.36 62.36 90.00°
Element x y z (fractional)
Sc: 0.500 0.500 0.000
Sc: 0.250 0.750 0.500
Sb: 0.000 0.000 0.000
Sb: 0.750 0.250 0.500
Si: 0.640 0.125 0.250
Si: 0.110 0.625 0.250
Si: 0.375 0.360 0.750
Si: 0.875 0.890 0.750

Computed properties:
space group: I-42d
total energy: -5.06 eV/atom

---

Record 25
ScSiSb4 | PBE | relaxed

Cell: 6.112 6.112 6.112 Å, 60.00 60.00 60.00°
Element x y z (fractional)
Sc: 0.750 0.750 0.750
Si: 0.000 0.000 0.000
Sb: 0.375 0.875 0.375
Sb: 0.875 0.375 0.375
Sb: 0.375 0.375 0.875
Sb: 0.375 0.375 0.375

Computed properties:
space group: F-43m
total energy: -4.29 eV/atom

---

Record 26
ScSiSb | PBE | relaxed

Cell: 4.915 4.915 3.011 Å, 90.00 90.00 120.00°
Element x y z (fractional)
Sb: 0.000 0.000 0.833
Sc: 0.333 0.667 0.334
Si: 0.667 0.333 0.833

Computed properties:
space group: P-6m2
offset from the most stable computed form: 411 meV/atom

---

Record 27
ScSiSb | PBE | relaxed

Cell: 4.709 4.709 4.709 Å, 60.00 60.00 60.00°
Element x y z (fractional)
Sb: 0.500 0.500 0.500
Sc: 0.250 0.250 0.250
Si: 0.000 0.000 0.000

Computed properties:
space group: F-43m
offset from the most stable computed form: 482 meV/atom

---

Calculated total moment, 0.000; 0.000; 0.000; 0.000; 0.000; 0.000; 0.015; 0.000; 0.088; 0.000; 0.000; 0.000; 0.000; 0.000; 0.000; 0.000; 0.000; 0.000; 0.000; 0.000; 0.000; 0.136; 0.128; 0.000; 0.000; 0.000; 0.000 μB per atom (same order as the records).